Record 1
Computed, not measured: a relaxed Tb2Nd6Ho crystal at the GGA-PBE level of DFT.

a b c (Å): 8.2852 8.2852 10.5308
angles (deg): 90.00 90.00 90.00
Closest atoms and distances in Å follow each position.
Space group P4_2/mnm (No. 136)
Asymmetric unit:
Tb  0.0000  0.0000  0.1677 (multiplicity 4)  6 Nd 3.06-3.31
Nd  0.2387  0.2387  0.0000 (multiplicity 4)  1 Ho 3.06, 2 Tb 3.31
Nd  0.2388  0.2388  0.3332 (multiplicity 8)  2 Tb 3.06-3.30, 1 Ho 3.30
Ho  0.0000  0.0000  0.5000 (multiplicity 2)  6 Nd 3.06-3.30

Values from the calculation:
Energy above the most stable polymorph in this dataset, eV/f.u.: 4.34
Crystal system: tetragonal
Calculated total energy, eV/atom: -4.106

Record 2
Computed, not measured: a relaxed Tb5Nd2Ho2 crystal at the GGA-PBE level of DFT.

a b c (Å): 14.9253 11.8293 6.7512
angles (deg): 90.00 90.00 90.00
Closest atoms and distances in Å follow each position.
Space group Ima2 (No. 46)
Asymmetric unit:
Tb  0.0523  0.2478  0.0000 (multiplicity 8)  4 Tb 3.16-3.38, 1 Ho 3.28, 1 Nd 3.34
Tb  0.1433  0.7349  0.8227 (multiplicity 8)  4 Tb 3.16-3.39, 1 Nd 3.36, 1 Ho 3.44
Tb  0.2500  0.2444  0.7979 (multiplicity 4)  6 Tb 3.25-3.57, 1 Ho 3.41, 2 Nd 3.57
Nd  0.1267  0.9999  0.6481 (multiplicity 8)  4 Tb 3.34-3.57, 2 Ho 3.58-3.64, 1 Nd 3.68
Ho  0.0000  0.0000  0.1869 (multiplicity 4)  4 Tb 3.28-3.62, 2 Nd 3.64
Ho  0.2500  0.5104  0.6018 (multiplicity 4)  4 Tb 3.41-3.65, 2 Nd 3.58, 2 Ho 3.78

Values from the calculation:
Energy above the most stable polymorph in this dataset, eV/f.u.: 0.00
Crystal system: orthorhombic
Calculated total energy, eV/atom: -4.437

Record 3
Computed, not measured: a relaxed Tb5Nd5Ho2 crystal at the GGA-PBE level of DFT.

a b c (Å): 15.2985 5.0914 11.4080
angles (deg): 90.00 116.55 90.00
Closest atoms and distances in Å follow each position.
Space group C2/m (No. 12)
Asymmetric unit:
Tb  0.0000  0.0000  0.0000 (multiplicity 2)  6 Nd 3.59-3.60, 2 Tb 3.60, 4 Ho 3.62
Tb  0.0818  0.0000  0.7490 (multiplicity 4)  2 Ho 3.58, 3 Tb 3.59-3.62, 7 Nd 3.60-3.65
Tb  0.1673  0.0000  0.5004 (multiplicity 4)  5 Nd 3.59-3.61, 3 Ho 3.59, 4 Tb 3.59-3.62
Nd  0.0000  0.5000  0.5000 (multiplicity 2)  2 Ho 3.59, 8 Tb 3.60-3.61, 2 Nd 3.61
Nd  0.1647  0.5000  0.9990 (multiplicity 4)  5 Tb 3.59-3.65, 2 Ho 3.59-3.62, 5 Nd 3.62-3.64
Nd  0.2492  0.0000  0.2510 (multiplicity 4)  6 Tb 3.59-3.63, 2 Ho 3.60, 4 Nd 3.61-3.64
Ho  0.0834  0.5000  0.2520 (multiplicity 4)  7 Tb 3.58-3.62, 5 Nd 3.59-3.62

Values from the calculation:
Crystal system: monoclinic
Calculated total energy, eV/atom: -4.662

Record 4
Computed, not measured: a relaxed Tb4NdHo6 crystal at the GGA-PBE level of DFT.

a b c (Å): 7.6795 7.6795 12.9148
angles (deg): 90.00 90.00 90.00
Closest atoms and distances in Å follow each position.
Space group I-42m (No. 121)
Asymmetric unit:
Tb  0.1676  0.1676  0.4247 (multiplicity 8)  3 Ho 3.02-3.21, 2 Tb 3.23
Nd  0.0000  0.0000  0.0000 (multiplicity 2)  8 Ho 3.62-3.84, 4 Tb 3.74
Ho  0.0000  0.5000  0.0000 (multiplicity 4)  4 Tb 3.02
Ho  0.2491  0.2491  0.1861 (multiplicity 8)  4 Tb 3.21-3.57

Values from the calculation:
Energy above the most stable polymorph in this dataset, eV/f.u.: 3.56
Crystal system: tetragonal
Calculated total energy, eV/atom: -4.168

Record 5
Computed, not measured: a relaxed Tb12NdHo6 crystal at the GGA-PBE level of DFT.

a b c (Å): 15.1070 15.1070 9.9403
angles (deg): 90.00 90.00 120.00
Closest atoms and distances in Å follow each position.
Space group R-3m (No. 166, hexagonal axes)
Asymmetric unit:
Tb  0.0000  0.3900  0.0000 (multiplicity 18)  4 Ho 3.28-3.41, 3 Tb 3.32-3.63
Tb  0.0714  0.1429  0.8000 (multiplicity 18)  1 Ho 3.03, 2 Tb 3.24
Nd  0.0000  0.0000  0.5000 (multiplicity 3)  6 Tb 3.52
Ho  0.0485  0.5242  0.7077 (multiplicity 18)  3 Tb 3.03-3.28

Values from the calculation:
Energy above the most stable polymorph in this dataset, eV/f.u.: 5.39
Crystal system: trigonal
Calculated total energy, eV/atom: -4.185

Record 6
Computed, not measured: a relaxed TbNdHo5 crystal at the GGA-PBE level of DFT.

a b c (Å): 5.7641 8.6104 11.8925
angles (deg): 90.00 90.00 90.00
Closest atoms and distances in Å follow each position.
Space group Immm (No. 71)
Asymmetric unit:
Tb  0.0000  0.0000  0.0000 (multiplicity 2)  6 Ho 3.04-3.26
Nd  0.0000  0.0000  0.5000 (multiplicity 2)  6 Ho 2.78-2.91
Ho  0.0000  0.0000  0.2552 (multiplicity 4)  1 Nd 2.91, 1 Tb 3.04
Ho  0.0000  0.3224  0.5000 (multiplicity 4)  1 Nd 2.78, 1 Ho 3.06
Ho  0.0000  0.5000  0.0000 (multiplicity 2)  2 Nd 2.88

Values from the calculation:
Energy above the most stable polymorph in this dataset, eV/f.u.: 6.36
Crystal system: orthorhombic
Calculated total energy, eV/atom: -3.509

What did the fifth record say?
Computed, not measured: a relaxed Tb12NdHo6 crystal at the GGA-PBE level of DFT.

a b c (Å): 15.1070 15.1070 9.9403
angles (deg): 90.00 90.00 120.00
Closest atoms and distances in Å follow each position.
Space group R-3m (No. 166, hexagonal axes)
Asymmetric unit:
Tb  0.0000  0.3900  0.0000 (multiplicity 18)  4 Ho 3.28-3.41, 3 Tb 3.32-3.63
Tb  0.0714  0.1429  0.8000 (multiplicity 18)  1 Ho 3.03, 2 Tb 3.24
Nd  0.0000  0.0000  0.5000 (multiplicity 3)  6 Tb 3.52
Ho  0.0485  0.5242  0.7077 (multiplicity 18)  3 Tb 3.03-3.28

Values from the calculation:
Energy above the most stable polymorph in this dataset, eV/f.u.: 5.39
Crystal system: trigonal
Calculated total energy, eV/atom: -4.185